1.
## Rb4Tl3Br8 (PBE)

Data for a relaxed structure of Rb4Tl3Br8.

Cell and atoms, written as POSCAR:
```
Rb4Tl3Br8
1.0
6.698 -6.830 0.000
6.698 6.830 0.000
-6.519 0.000 6.798
Rb Tl Br
4 3 8
Cartesian
0.000 0.000 0.000
3.349 3.415 0.000
3.349 -3.415 0.000
3.439 0.000 3.399
0.090 3.415 3.399
0.090 -3.415 3.399
6.698 0.000 0.000
3.439 3.382 3.399
6.698 3.327 0.000
0.054 0.000 3.574
3.573 0.000 0.021
3.304 0.000 6.777
6.823 0.000 3.224
6.698 -3.327 0.000
3.439 -3.382 3.399
```

Values from the calculation:
- E_form (uncorrected): -18.50 eV/f.u.
- Uncorrected energy: -42.848 eV for the cell shown
- SG: No. 12


2.
## Rb4TlBr5 (PBE)

Data for a relaxed structure of Rb4TlBr5.

Cell and atoms, written as POSCAR:
```
Rb4TlBr5
1.0
-2.461 3.475 12.297
2.461 -3.475 12.297
2.461 3.475 -12.297
Rb Tl Br
4 1 5
Cartesian
0.000 0.000 2.430
0.000 0.000 7.414
0.000 0.000 17.179
0.000 0.000 22.164
0.000 0.000 12.297
2.461 0.000 0.000
2.461 0.000 4.927
2.461 0.000 9.923
0.000 3.475 2.373
0.000 3.475 7.370
```

Values from the calculation:
- E_form (uncorrected): -15.73 eV/f.u.
- Uncorrected energy: -30.328 eV for the cell shown
- SG: No. 71


3.
## Rb2TlBr (PBE)

Data for a relaxed structure of Rb2TlBr.

Cell and atoms, written as POSCAR:
```
Rb2TlBr
1.0
0.000 4.501 4.501
4.501 0.000 4.501
4.501 4.501 0.000
Rb Tl Br
2 1 1
Cartesian
2.251 2.251 2.251
6.752 6.752 6.752
0.000 0.000 0.000
4.501 4.501 4.501
```

Values from the calculation:
- Polymorph energy (0 for the lowest one): 0.258 eV per atom
- E_form (uncorrected): -2.09 eV/f.u.
- Uncorrected energy: -8.062 eV for the cell shown
- SG: No. 225


4.
## Rb3TlBr (PBE)

Data for a relaxed structure of Rb3TlBr.

Cell and atoms, written as POSCAR:
```
Rb3TlBr
1.0
6.651 0.000 0.000
0.000 6.651 0.000
0.000 0.000 6.651
Rb Tl Br
3 1 1
Cartesian
0.000 0.000 3.326
0.000 3.326 0.000
3.326 0.000 0.000
3.326 3.326 3.326
0.000 0.000 0.000
```

Values from the calculation:
- Polymorph energy (0 for the lowest one): 0.000 eV per atom
- E_form (uncorrected): -2.83 eV/f.u.
- Uncorrected energy: -9.771 eV for the cell shown
- SG: No. 221


5.
## Rb6TlBr8 (PBE)

Data for a relaxed structure of Rb6TlBr8.

Cell and atoms, written as POSCAR:
```
Rb6TlBr8
1.0
10.076 0.000 0.000
-5.038 8.726 0.000
0.000 0.000 7.217
Rb Tl Br
6 1 8
Cartesian
-1.892 3.277 1.576
-3.146 5.449 5.641
3.784 0.000 1.576
1.892 3.277 5.641
6.292 0.000 5.641
3.146 5.449 1.576
0.000 0.000 3.609
-1.354 2.345 5.125
-3.684 6.381 2.092
2.707 0.000 5.125
1.354 2.345 2.092
0.000 5.817 0.000
5.038 2.909 0.000
7.369 0.000 2.092
3.684 6.381 5.125
```

Values from the calculation:
- E_form (uncorrected): -22.05 eV/f.u.
- Uncorrected energy: -43.609 eV for the cell shown
- SG: No. 162


6.
## RbTl6Br8 (PBE)

Data for a relaxed structure of RbTl6Br8.

Cell and atoms, written as POSCAR:
```
RbTl6Br8
1.0
11.680 0.000 0.000
-5.840 10.115 0.000
0.000 0.000 4.888
Rb Tl Br
1 6 8
Cartesian
0.000 0.000 0.000
-2.367 6.722 3.663
1.202 4.705 3.663
4.675 1.311 1.226
1.165 8.804 3.663
4.638 5.411 1.226
8.207 3.393 1.226
-1.446 3.105 3.672
-2.428 9.815 3.672
1.966 2.805 1.216
0.000 6.743 1.218
5.840 3.372 3.671
3.874 7.310 3.672
8.268 0.300 1.216
7.286 7.010 1.216
```

Values from the calculation:
- Polymorph energy (0 for the lowest one): 0.000 eV per atom
- E_form (uncorrected): -13.14 eV/f.u.
- Uncorrected energy: -41.685 eV for the cell shown
- SG: No. 147


7.
## Rb2TlBr (PBE)

Data for a relaxed structure of Rb2TlBr.

Cell and atoms, written as POSCAR:
```
Rb2TlBr
1.0
4.089 0.000 0.000
0.000 4.089 0.000
0.000 0.000 9.912
Rb Tl Br
2 1 1
Cartesian
0.000 0.000 2.093
0.000 0.000 7.819
2.045 2.045 4.956
2.045 2.045 0.000
```

Values from the calculation:
- Polymorph energy (0 for the lowest one): 0.000 eV per atom
- E_form (uncorrected): -3.12 eV/f.u.
- Uncorrected energy: -9.092 eV for the cell shown
- SG: No. 123


8.
## Rb2Tl2Br7 (PBE)

Data for a relaxed structure of Rb2Tl2Br7.

Cell and atoms, written as POSCAR:
```
Rb2Tl2Br7
1.0
6.660 0.000 0.000
0.000 17.391 0.000
-1.534 0.000 8.992
Rb Tl Br
4 4 14
Cartesian
0.411 2.472 3.868
-0.356 6.223 8.364
5.483 11.167 0.628
4.716 14.918 5.124
1.106 10.734 5.726
1.873 15.352 1.230
3.253 2.039 7.762
4.020 6.656 3.266
0.033 3.014 0.406
-0.734 5.681 4.902
0.032 9.659 8.005
0.799 16.427 3.509
1.775 4.023 6.656
2.542 4.672 2.160
3.330 0.000 0.000
2.563 8.695 4.496
2.584 12.719 6.832
3.351 13.367 2.336
4.327 0.964 5.483
5.094 7.732 0.987
5.860 11.709 4.090
5.093 14.376 8.586
```

Values from the calculation:
- Polymorph energy (0 for the lowest one): 0.000 eV per atom
- E_form (uncorrected): -10.48 eV/f.u.
- Uncorrected energy: -57.725 eV for the cell shown
- SG: No. 14


9.
## Rb2TlBr3 (PBE)

Data for a relaxed structure of Rb2TlBr3.

Cell and atoms, written as POSCAR:
```
Rb2TlBr3
1.0
4.242 -7.349 0.000
4.242 7.349 0.000
-2.828 0.000 7.984
Rb Tl Br
4 2 6
Cartesian
0.000 0.000 0.000
2.828 4.898 3.992
2.828 0.000 3.992
2.828 -4.898 3.992
4.242 2.454 0.000
4.242 -2.454 0.000
1.434 2.484 1.953
0.040 0.000 6.027
1.434 -2.484 1.953
4.221 2.484 6.032
5.615 0.000 1.958
4.221 -2.484 6.032
```

Values from the calculation:
- E_form (uncorrected): -8.72 eV/f.u.
- Uncorrected energy: -36.083 eV for the cell shown
- SG: No. 12


10.
## Rb2Tl3Br5 (PBE)

Data for a relaxed structure of Rb2Tl3Br5.

Cell and atoms, written as POSCAR:
```
Rb2Tl3Br5
1.0
8.657 -2.362 0.000
8.657 2.362 0.000
-7.253 0.000 10.034
Rb Tl Br
2 3 5
Cartesian
0.982 0.000 2.686
9.080 0.000 7.348
-3.626 0.000 5.017
5.749 0.000 1.315
4.313 0.000 8.719
-2.198 0.000 8.040
2.686 0.000 5.854
8.657 0.000 0.000
7.376 0.000 4.180
12.260 0.000 1.994
```

Values from the calculation:
- E_form (uncorrected): -11.91 eV/f.u.
- Uncorrected energy: -29.310 eV for the cell shown
- SG: No. 12


11.
## Rb12Tl3Br5 (PBE)

Data for a relaxed structure of Rb12Tl3Br5.

Cell and atoms, written as POSCAR:
```
Rb12Tl3Br5
1.0
-10.664 10.664 10.664
10.664 -10.664 10.664
10.664 10.664 -10.664
Rb Tl Br
48 12 20
Cartesian
3.229 -0.475 1.337
12.766 6.669 -5.807
13.893 0.475 1.337
12.766 -3.995 5.807
10.189 -1.337 3.229
16.470 -2.103 3.995
1.337 3.229 -0.475
14.659 4.857 -2.103
6.669 5.807 -2.103
9.327 3.229 0.475
-0.475 1.337 3.229
5.807 -2.103 6.669
10.189 9.327 -3.229
5.807 2.103 3.995
6.669 -5.807 12.766
9.327 -3.229 10.189
3.995 5.807 2.103
12.000 7.435 0.475
5.807 12.766 -3.995
10.189 1.337 7.435
3.229 10.189 -1.337
12.766 3.995 4.857
2.103 3.995 5.807
3.229 0.475 9.327
7.435 10.189 1.337
8.561 6.669 4.857
-2.103 6.669 5.807
7.435 0.475 12.000
0.475 9.327 3.229
4.857 -2.103 14.659
-1.337 3.229 10.189
6.669 4.857 8.561
1.337 13.893 0.475
3.995 16.470 -2.103
4.857 8.561 6.669
0.475 1.337 13.893
4.857 12.766 3.995
11.139 9.327 7.435
1.337 7.435 10.189
3.995 4.857 12.766
-3.995 5.807 12.766
9.327 7.435 11.139
-5.807 12.766 6.669
0.475 12.000 7.435
-2.103 14.659 4.857
-3.229 10.189 9.327
-2.103 3.995 16.470
7.435 11.139 9.327
5.332 2.666 0.000
10.664 5.332 -2.666
2.666 0.000 5.332
13.330 0.000 5.332
0.000 5.332 2.666
5.332 -2.666 10.664
5.332 13.330 0.000
10.664 5.332 7.998
-2.666 10.664 5.332
7.998 10.664 5.332
0.000 5.332 13.330
5.332 7.998 10.664
0.000 0.000 0.000
5.332 5.332 -5.332
5.332 -5.332 5.332
10.664 0.000 0.000
15.996 2.666 0.000
10.664 -5.332 7.998
7.998 10.664 -5.332
7.998 0.000 5.332
5.332 7.998 0.000
10.664 5.332 2.666
-5.332 5.332 5.332
0.000 10.664 0.000
0.000 0.000 10.664
5.332 5.332 5.332
0.000 5.332 7.998
5.332 2.666 10.664
2.666 10.664 5.332
2.666 0.000 15.996
0.000 15.996 2.666
-5.332 7.998 10.664
```

Values from the calculation:
- E_form (uncorrected): -15.10 eV/f.u.
- Uncorrected energy: -168.685 eV for the cell shown
- SG: No. 230


12.
## Rb2TlBr2 (PBE)

Data for a relaxed structure of Rb2TlBr2.

Cell and atoms, written as POSCAR:
```
Rb2TlBr2
1.0
9.990 0.000 0.000
0.000 9.990 0.000
0.000 0.000 3.966
Rb Tl Br
4 2 4
Cartesian
1.428 3.567 0.000
3.567 8.561 0.000
6.423 1.428 0.000
8.561 6.423 0.000
0.000 0.000 0.000
4.995 4.995 0.000
1.519 6.514 1.983
3.476 1.519 1.983
6.514 8.471 1.983
8.471 3.476 1.983
```

Values from the calculation:
- Polymorph energy (0 for the lowest one): 0.109 eV per atom
- E_form (uncorrected): -5.24 eV/f.u.
- Uncorrected energy: -25.780 eV for the cell shown
- SG: No. 127


13.
## Rb2TlBr (PBE)

Data for a relaxed structure of Rb2TlBr.

Cell and atoms, written as POSCAR:
```
Rb2TlBr
1.0
-4.910 4.910 4.203
4.910 -4.910 4.203
4.910 4.910 -4.203
Rb Tl Br
4 2 2
Cartesian
7.365 1.980 -1.051
1.980 2.455 1.051
-2.455 2.930 3.152
2.930 2.455 5.253
4.910 0.000 2.101
0.000 0.000 4.203
0.000 0.000 0.000
0.000 4.910 2.101
```

Values from the calculation:
- Polymorph energy (0 for the lowest one): 0.160 eV per atom
- E_form (uncorrected): -2.48 eV/f.u.
- Uncorrected energy: -16.907 eV for the cell shown
- SG: No. 122


14.
## Rb2Tl2Br (PBE)

Data for a relaxed structure of Rb2Tl2Br.

Cell and atoms, written as POSCAR:
```
Rb2Tl2Br
1.0
8.941 0.000 0.000
0.000 8.941 0.000
0.000 0.000 6.445
Rb Tl Br
4 4 2
Cartesian
1.635 2.836 0.000
2.836 7.306 0.000
6.105 1.635 0.000
7.306 6.105 0.000
1.089 5.560 3.222
3.381 1.089 3.222
5.560 7.852 3.222
7.852 3.381 3.222
0.000 0.000 0.000
4.471 4.471 0.000
```

Values from the calculation:
- E_form (uncorrected): -1.99 eV/f.u.
- Uncorrected energy: -20.662 eV for the cell shown
- SG: No. 127


15.
## Rb2TlBr2 (PBE)

Data for a relaxed structure of Rb2TlBr2.

Cell and atoms, written as POSCAR:
```
Rb2TlBr2
1.0
6.494 0.000 0.000
0.000 6.494 0.000
0.000 0.000 6.512
Rb Tl Br
2 1 2
Cartesian
0.000 0.000 0.000
3.247 3.247 0.000
0.000 0.000 3.256
0.000 3.247 3.256
3.247 0.000 3.256
```

Values from the calculation:
- Polymorph energy (0 for the lowest one): 0.441 eV per atom
- E_form (uncorrected): -3.58 eV/f.u.
- Uncorrected energy: -11.230 eV for the cell shown
- SG: No. 123


16.
## Rb2Tl2Br5 (PBE)

Data for a relaxed structure of Rb2Tl2Br5.

Cell and atoms, written as POSCAR:
```
Rb2Tl2Br5
1.0
-11.708 4.237 3.990
11.708 -4.237 3.990
11.708 4.237 -3.990
Rb Tl Br
4 4 10
Cartesian
2.507 0.218 0.000
9.201 0.218 0.000
2.507 4.019 3.990
9.201 4.019 3.990
5.854 -0.489 3.650
5.854 4.726 -0.340
0.000 4.237 0.185
0.000 0.000 4.175
12.117 2.166 -1.844
11.299 -2.071 2.146
17.562 0.712 0.471
2.940 3.658 0.341
8.768 3.658 0.341
-0.409 2.071 2.146
12.117 2.071 2.146
2.940 0.579 4.331
8.768 0.579 4.331
-5.854 3.525 4.461
```

Values from the calculation:
- E_form (uncorrected): -10.35 eV/f.u.
- Uncorrected energy: -50.768 eV for the cell shown
- SG: No. 46


17.
## Rb4TlBr5 (PBE)

Data for a relaxed structure of Rb4TlBr5.

Cell and atoms, written as POSCAR:
```
Rb4TlBr5
1.0
-5.501 5.501 3.475
5.501 -5.501 3.475
5.501 5.501 -3.475
Rb Tl Br
4 1 5
Cartesian
7.713 1.095 0.000
1.095 3.289 0.000
4.406 2.212 3.475
-2.212 4.406 3.475
0.000 0.000 3.467
0.000 0.000 0.008
4.429 2.251 0.001
3.250 -1.072 3.476
2.251 6.573 0.001
1.072 3.250 3.476
```

Values from the calculation:
- E_form (uncorrected): -15.74 eV/f.u.
- Uncorrected energy: -30.337 eV for the cell shown
- SG: No. 79


18.
## Rb3Tl2Br8 (PBE)

Data for a relaxed structure of Rb3Tl2Br8.

Cell and atoms, written as POSCAR:
```
Rb3Tl2Br8
1.0
4.050 2.338 9.845
-4.050 2.338 9.845
0.000 -4.676 9.845
Rb Tl Br
3 2 8
Cartesian
0.000 0.000 0.000
0.000 0.000 6.050
0.000 0.000 23.486
0.000 0.000 12.119
0.000 0.000 17.417
-2.260 -1.305 16.632
0.000 -2.609 12.904
-2.260 1.305 12.904
0.000 0.000 9.403
0.000 0.000 20.133
2.260 -1.305 16.632
0.000 2.609 16.632
2.260 1.305 12.904
```

Values from the calculation:
- E_form (uncorrected): -13.89 eV/f.u.
- Uncorrected energy: -34.912 eV for the cell shown
- SG: No. 166


Number 1: ρ 4.26 g cm⁻³. Number 2: ρ 3.73 g cm⁻³. Number 3: ρ 4.14 g cm⁻³. Number 4: ρ 3.05 g cm⁻³. Number 5: ρ 3.55 g cm⁻³. Number 6: ρ 5.61 g cm⁻³. Number 7: ρ 4.56 g cm⁻³. Number 8: ρ 3.63 g cm⁻³. Number 9: ρ 4.10 g cm⁻³. Number 10: ρ 4.79 g cm⁻³. Number 11: ρ 2.79 g cm⁻³. Number 12: ρ 4.49 g cm⁻³. Number 13: ρ 3.73 g cm⁻³. Number 14: ρ 4.25 g cm⁻³. Number 15: ρ 3.24 g cm⁻³. Number 16: ρ 4.11 g cm⁻³. Number 17: ρ 3.73 g cm⁻³. Number 18: ρ 3.87 g cm⁻³.